{"formula": "Ac5Cd2Sn2", "functional": "PBE-GGA", "state": "relaxed", "energy_ev_per_atom": -3.803, "volume_a3_per_atom": 37.5, "lattice_angstrom": [[-4.3225, 1.6685, -7.4541], [-7.6035, -0.7741, 4.2359], [3.9505, 8.9874, -0.2791]], "species": ["Cd", "Ac", "Sn", "Sn", "Cd", "Ac", "Cd", "Ac", "Ac", "Ac", "Sn", "Sn", "Ac", "Ac", "Ac", "Ac", "Cd", "Ac"], "fractional_positions": [[0.1225, 0.6211, 0.0000], [0.1694, 0.1831, 0.7115], [0.0000, 0.7967, 0.5934], [0.5000, 0.2967, 0.5934], [0.6225, 0.8789, 0.0000], [0.3306, 0.9716, 0.2885], [0.3775, 0.1211, 0.0000], [0.5000, 0.5000, 0.0000], [0.3306, 0.6831, 0.7115], [0.6694, 0.3169, 0.2885], [0.5000, 0.7033, 0.4066], [0.0000, 0.2033, 0.4066], [0.0000, 0.0000, 0.0000], [0.1694, 0.4716, 0.2885], [0.6694, 0.0284, 0.7115], [0.8306, 0.5284, 0.7115], [0.8775, 0.3789, 0.0000], [0.8306, 0.8169, 0.2885]]}